KRu2Cl11: relaxed, PBE.

a = 11.5582 Å, b = 11.6729 Å, c = 13.2759 Å
α = 90.00°, β = 90.00°, γ = 90.00°
Space group Ibam (No. 72)
One atom of each set of equivalent atoms:
K 0.0000 0.0000 0.2500 (multiplicity 4)
Ru 0.1452 0.3376 0.0000 (multiplicity 8)
Cl 0.0000 0.5000 0.0000 (multiplicity 4)
Cl 0.0333 0.2513 0.1229 (multiplicity 16)
Cl 0.2278 0.3055 0.5000 (multiplicity 8)
Cl 0.2446 0.4361 0.1239 (multiplicity 16)

Summary:
Formation energy from raw total energies (eV per atom): -0.576
Total energy (Ry per atom): -0.2521
Calculated volume (Å³/atom): 31.98


AcTb2H8: relaxed, PBE.

a = 3.7990 Å, b = 5.4212 Å, c = 11.4816 Å
α = 90.00°, β = 90.00°, γ = 90.00°
Space group Immm (No. 71)
One atom of each set of equivalent atoms:
Ac 0.0000 0.0000 0.0000 (multiplicity 2)
Tb 0.0000 0.0000 0.3287 (multiplicity 4)
H 0.0000 0.2003 0.5000 (multiplicity 4)
H 0.0000 0.2732 0.1708 (multiplicity 8)
H 0.0000 0.5000 0.3425 (multiplicity 4)

Summary:
Total energy (Ry per atom): -0.3110
Calculated volume (Å³/atom): 10.75


BaHfIO2: relaxed, PBE.

a = 4.6584 Å, b = 4.6584 Å, c = 6.6884 Å
α = 90.00°, β = 90.00°, γ = 90.00°
Space group P4/mmm (No. 123)
One atom of each set of equivalent atoms:
Ba 0.0000 0.0000 0.0000 (multiplicity 1)
Hf 0.5000 0.5000 0.5000 (multiplicity 1)
I 0.0000 0.0000 0.5000 (multiplicity 1)
O 0.0000 0.5000 0.0000 (multiplicity 2)

Summary:
Offset from the most stable computed form (meV/atom): 1936
Formation energy from raw total energies (eV per atom): 0.086
Total energy (Ry per atom): -0.3368
Calculated volume (Å³/atom): 29.03


CaYGa2Pt2: relaxed, PBE.

a = 4.4280 Å, b = 4.4280 Å, c = 7.4073 Å
α = 90.00°, β = 90.00°, γ = 120.00°
Space group P-3m1 (No. 164)
One atom of each set of equivalent atoms:
Ca 0.0000 0.0000 0.0000 (multiplicity 1)
Y 0.0000 0.0000 0.5000 (multiplicity 1)
Ga 0.3333 0.6667 0.2626 (multiplicity 2)
Pt 0.3333 0.6667 0.7257 (multiplicity 2)

Summary:
E_form (eV per atom): -0.98
Total energy (Ry per atom): -0.3980
Calculated volume (Å³/atom): 20.96


TaCuNi2: relaxed, PBE.

a = 8.8406 Å, b = 2.7743 Å, c = 4.3564 Å
α = 90.00°, β = 103.79°, γ = 90.00°
Space group Cm (No. 8)
One atom of each set of equivalent atoms:
Ta 0.0000 0.0000 0.0000 (multiplicity 2)
Cu 0.2367 0.0000 0.7027 (multiplicity 2)
Ni 0.2544 0.5000 0.2227 (multiplicity 2)
Ni 0.4906 0.0000 0.4938 (multiplicity 2)

Summary:
E_form (eV per atom): -0.08
Total energy (Ry per atom): -0.5112
Calculated volume (Å³/atom): 12.97


VTcGe: relaxed, PBE.

a = 4.3014 Å, b = 4.3014 Å, c = 5.2650 Å
α = 90.00°, β = 90.00°, γ = 120.00°
Space group P3m1 (No. 156)
One atom of each set of equivalent atoms:
V 0.0000 0.0000 0.0000 (multiplicity 1)
V 0.3333 0.6667 0.7864 (multiplicity 1)
Tc 0.3333 0.6667 0.2758 (multiplicity 1)
Tc 0.6667 0.3333 0.6293 (multiplicity 1)
Ge 0.0000 0.0000 0.5076 (multiplicity 1)
Ge 0.6667 0.3333 0.1103 (multiplicity 1)

Summary:
Offset from the most stable computed form (meV/atom): 0
E_form (eV per atom): -0.22
Total energy (Ry per atom): -0.6063
Calculated volume (Å³/atom): 14.06


ZnW2Se: relaxed, PBE.

a = 3.1115 Å, b = 4.6187 Å, c = 9.0329 Å
α = 90.00°, β = 90.00°, γ = 90.00°
Space group Immm (No. 71)
One atom of each set of equivalent atoms:
Zn 0.0000 0.0000 0.0000 (multiplicity 2)
W 0.0000 0.5000 0.2453 (multiplicity 4)
Se 0.0000 0.0000 0.5000 (multiplicity 2)

Summary:
Offset from the most stable computed form (meV/atom): 309
Formation energy from raw total energies (eV per atom): 0.604
Total energy (Ry per atom): -0.5191
Calculated volume (Å³/atom): 16.23


La2CdTc: relaxed, PBE.

a = 3.5442 Å, b = 5.2222 Å, c = 11.3564 Å
α = 90.00°, β = 90.00°, γ = 90.00°
Space group Imm2 (No. 44)
One atom of each set of equivalent atoms:
La 0.0000 0.0000 0.0000 (multiplicity 2)
La 0.0000 0.5000 0.1955 (multiplicity 2)
Cd 0.0000 0.0000 0.3969 (multiplicity 2)
Tc 0.0000 0.5000 0.6997 (multiplicity 2)

Summary:
E_form (eV per atom): 0.05
Total energy (Ry per atom): -0.3843
Calculated volume (Å³/atom): 26.27


In7Ga2Hg2: relaxed, PBE.

a = 9.2537 Å, b = 9.9910 Å, c = 6.6244 Å
α = 90.00°, β = 90.00°, γ = 90.00°
Space group Cmmm (No. 65)
One atom of each set of equivalent atoms:
In 0.0000 0.0000 0.0000 (multiplicity 2)
In 0.0000 0.5000 0.2778 (multiplicity 4)
In 0.2500 0.2500 0.2570 (multiplicity 8)
Ga 0.0000 0.2829 0.0000 (multiplicity 4)
Hg 0.1618 0.0000 0.5000 (multiplicity 4)

Summary:
Offset from the most stable computed form (meV/atom): 31
E_form (eV per atom): 0.07
Total energy (Ry per atom): -0.1675
Calculated volume (Å³/atom): 27.84


Tb4Dy7Y: relaxed, PBE.

a = 6.4973 Å, b = 6.7984 Å, c = 9.0237 Å
α = 86.03°, β = 77.06°, γ = 82.14°
Space group P-1 (No. 2)
One atom of each set of equivalent atoms:
Tb 0.1390 0.3039 0.2846 (multiplicity 2)
Tb 0.3409 0.8863 0.6886 (multiplicity 2)
Dy 0.0141 0.2510 0.9483 (multiplicity 2)
Dy 0.1860 0.7973 0.3588 (multiplicity 2)
Dy 0.3081 0.3957 0.6137 (multiplicity 2)
Dy 0.5000 0.0000 0.0000 (multiplicity 1)
Y 0.5000 0.5000 0.0000 (multiplicity 1)

Summary:
Offset from the most stable computed form (meV/atom): 0
E_form (eV per atom): 0.09
Total energy (Ry per atom): -0.3440
Calculated volume (Å³/atom): 32.04


SrZn2Ni: relaxed, PBE.

a = 6.8139 Å, b = 6.8139 Å, c = 6.8139 Å
α = 90.00°, β = 90.00°, γ = 90.00°
Space group Fm-3m (No. 225)
One atom of each set of equivalent atoms:
Sr 0.0000 0.0000 0.0000 (multiplicity 4)
Zn 0.2500 0.2500 0.2500 (multiplicity 8)
Ni 0.0000 0.0000 0.5000 (multiplicity 4)

Summary:
E_form (eV per atom): 0.12
Total energy (Ry per atom): -0.1749
Calculated volume (Å³/atom): 19.77


HoZnGa3Pd: relaxed, PBE.

a = 5.8990 Å, b = 12.4009 Å, c = 6.2774 Å
α = 90.00°, β = 90.00°, γ = 90.00°
Space group Cmcm (No. 63)
One atom of each set of equivalent atoms:
Ho 0.0000 0.1912 0.2500 (multiplicity 4)
Zn 0.0000 0.4116 0.2500 (multiplicity 4)
Ga 0.0000 0.3597 0.7500 (multiplicity 4)
Ga 0.2154 0.0000 0.0000 (multiplicity 8)
Pd 0.0000 0.1512 0.7500 (multiplicity 4)

Summary:
E_form (eV per atom): -0.28
Total energy (Ry per atom): -0.2669
Calculated volume (Å³/atom): 19.13


BaSr2Sb: relaxed, PBE.

a = 8.6992 Å, b = 8.6992 Å, c = 8.6992 Å
α = 90.00°, β = 90.00°, γ = 90.00°
Space group F-43m (No. 216)
One atom of each set of equivalent atoms:
Ba 0.0000 0.0000 0.0000 (multiplicity 4)
Sr 0.0000 0.0000 0.5000 (multiplicity 4)
Sr 0.2500 0.2500 0.2500 (multiplicity 4)
Sb 0.2500 0.2500 0.7500 (multiplicity 4)

Summary:
Formation energy from raw total energies (eV per atom): -0.294
Total energy (Ry per atom): -0.1945
Calculated volume (Å³/atom): 41.15


ScOs3I: relaxed, PBE.

a = 4.7467 Å, b = 4.7467 Å, c = 4.7467 Å
α = 90.00°, β = 90.00°, γ = 90.00°
Space group Pm-3m (No. 221)
One atom of each set of equivalent atoms:
Sc 0.0000 0.0000 0.0000 (multiplicity 1)
Os 0.0000 0.0000 0.5000 (multiplicity 3)
I 0.5000 0.5000 0.5000 (multiplicity 1)

Summary:
Offset from the most stable computed form (meV/atom): 400
Formation energy from raw total energies (eV per atom): 2.518
Total energy (Ry per atom): -0.4260
Calculated volume (Å³/atom): 21.39


NbB2I: relaxed, PBE.

a = 5.4939 Å, b = 5.4939 Å, c = 10.1391 Å
α = 90.00°, β = 90.00°, γ = 90.00°
Space group I-42d (No. 122)
One atom of each set of equivalent atoms:
Nb 0.0000 0.0000 0.0000 (multiplicity 4)
B 0.2173 0.2500 0.1250 (multiplicity 8)
I 0.0000 0.0000 0.5000 (multiplicity 4)

Summary:
Offset from the most stable computed form (meV/atom): 0
Formation energy from raw total energies (eV per atom): 1.292
Total energy (Ry per atom): -0.3639
Calculated volume (Å³/atom): 19.13


Sm3Ho8Mg: relaxed, PBE.

a = 3.5396 Å, b = 9.5426 Å, c = 11.8053 Å
α = 107.27°, β = 98.62°, γ = 90.03°
Space group P1 (No. 1)
One atom of each set of equivalent atoms:
Sm 0.0000 0.0000 0.0000 (multiplicity 1)
Sm 0.1057 0.5278 0.2078 (multiplicity 1)
Sm 0.3701 0.7334 0.7413 (multiplicity 1)
Ho 0.2345 0.0901 0.4672 (multiplicity 1)
Ho 0.2387 0.4710 0.4729 (multiplicity 1)
Ho 0.4713 0.3080 0.9427 (multiplicity 1)
Ho 0.6017 0.8558 0.2037 (multiplicity 1)
Ho 0.6282 0.2265 0.2532 (multiplicity 1)
Ho 0.8464 0.3775 0.6905 (multiplicity 1)
Ho 0.8577 0.0423 0.7175 (multiplicity 1)
Ho 0.9803 0.6309 0.9617 (multiplicity 1)
Mg 0.7371 0.7708 0.4657 (multiplicity 1)

Summary:
E_form (eV per atom): 0.03
Total energy (Ry per atom): -0.3182
Calculated volume (Å³/atom): 31.34


CrMoPCl2: relaxed, PBE.

a = 4.6040 Å, b = 4.6040 Å, c = 4.9569 Å
α = 90.00°, β = 90.00°, γ = 90.00°
Space group P4/mmm (No. 123)
One atom of each set of equivalent atoms:
Cr 0.0000 0.0000 0.0000 (multiplicity 1)
Mo 0.5000 0.5000 0.5000 (multiplicity 1)
P 0.0000 0.0000 0.5000 (multiplicity 1)
Cl 0.0000 0.5000 0.0000 (multiplicity 2)

Summary:
Offset from the most stable computed form (meV/atom): 148
Formation energy from raw total energies (eV per atom): 0.512
Total energy (Ry per atom): -0.3969
Calculated volume (Å³/atom): 21.01


Li2UTlSe4: relaxed, PBE.

a = 7.2435 Å, b = 7.2435 Å, c = 7.8925 Å
α = 90.00°, β = 90.00°, γ = 90.00°
Space group I-42m (No. 121)
One atom of each set of equivalent atoms:
Li 0.0000 0.5000 0.2500 (multiplicity 4)
U 0.0000 0.0000 0.0000 (multiplicity 2)
Tl 0.0000 0.0000 0.5000 (multiplicity 2)
Se 0.2269 0.2269 0.8289 (multiplicity 8)

Summary:
Formation energy from raw total energies (eV per atom): -0.810
Total energy (Ry per atom): -0.3482
Calculated volume (Å³/atom): 25.88


LaPmPrSm3: relaxed, PBE.

a = 20.6296 Å, b = 5.7834 Å, c = 7.0394 Å
α = 90.00°, β = 90.37°, γ = 90.00°
Space group C2/m (No. 12)
One atom of each set of equivalent atoms:
La 0.1463 0.0000 0.0341 (multiplicity 4)
Pm 0.1466 0.0000 0.4701 (multiplicity 4)
Pr 0.0553 0.5000 0.2573 (multiplicity 4)
Sm 0.0214 0.0000 0.7484 (multiplicity 4)
Sm 0.1633 0.5000 0.7435 (multiplicity 4)
Sm 0.2203 0.5000 0.2508 (multiplicity 4)

Summary:
E_form (eV per atom): 0.16
Total energy (Ry per atom): -0.3390
Calculated volume (Å³/atom): 34.99


K4CeNp3Te8: relaxed, PBE.

a = 15.9922 Å, b = 9.2022 Å, c = 9.7860 Å
α = 90.00°, β = 123.02°, γ = 90.00°
Space group C2/m (No. 12)
One atom of each set of equivalent atoms:
K 0.0000 0.0000 0.0000 (multiplicity 2)
K 0.0000 0.5000 0.0000 (multiplicity 2)
K 0.2500 0.2500 0.0000 (multiplicity 4)
Ce 0.0000 0.0000 0.5000 (multiplicity 2)
Np 0.0000 0.5000 0.5000 (multiplicity 2)
Np 0.2500 0.2500 0.5000 (multiplicity 4)
Te 0.0131 0.2510 0.2882 (multiplicity 8)
Te 0.2366 0.5000 0.7095 (multiplicity 4)
Te 0.2383 0.0000 0.7102 (multiplicity 4)

Summary:
Formation energy from raw total energies (eV per atom): -0.996
Total energy (Ry per atom): -0.4144
Calculated volume (Å³/atom): 37.74


ZrCuMoN2: relaxed, PBE.

a = 3.9113 Å, b = 3.9113 Å, c = 4.5744 Å
α = 90.00°, β = 90.00°, γ = 90.00°
Space group P4/mmm (No. 123)
One atom of each set of equivalent atoms:
Zr 0.0000 0.0000 0.0000 (multiplicity 1)
Cu 0.5000 0.5000 0.5000 (multiplicity 1)
Mo 0.5000 0.5000 0.0000 (multiplicity 1)
N 0.0000 0.5000 0.5000 (multiplicity 2)

Summary:
Offset from the most stable computed form (meV/atom): 1182
Formation energy from raw total energies (eV per atom): 1.561
Total energy (Ry per atom): -0.4751
Calculated volume (Å³/atom): 14.00


HgTe3Rh: relaxed, PBE.

a = 5.2804 Å, b = 5.2804 Å, c = 5.2804 Å
α = 90.00°, β = 90.00°, γ = 90.00°
Space group Pm-3m (No. 221)
One atom of each set of equivalent atoms:
Hg 0.0000 0.0000 0.0000 (multiplicity 1)
Te 0.0000 0.5000 0.5000 (multiplicity 3)
Rh 0.5000 0.5000 0.5000 (multiplicity 1)

Summary:
Offset from the most stable computed form (meV/atom): 0
Formation energy from raw total energies (eV per atom): 0.307
Total energy (Ry per atom): -0.2285
Calculated volume (Å³/atom): 29.45


YNiBi: relaxed, PBE.

a = 4.3998 Å, b = 4.3998 Å, c = 4.1283 Å
α = 90.00°, β = 90.00°, γ = 120.00°
Space group P3m1 (No. 156)
One atom of each set of equivalent atoms:
Y 0.0000 0.0000 0.0000 (multiplicity 1)
Ni 0.3333 0.6667 0.4116 (multiplicity 1)
Bi 0.6667 0.3333 0.5023 (multiplicity 1)

Summary:
E_form (eV per atom): -0.50
Total energy (Ry per atom): -0.4315
Calculated volume (Å³/atom): 23.07


Rb2PPbS4: relaxed, PBE.

a = 7.6310 Å, b = 7.6310 Å, c = 9.1983 Å
α = 90.00°, β = 90.00°, γ = 90.00°
Space group I-4 (No. 82)
One atom of each set of equivalent atoms:
Rb 0.0000 0.0000 0.0000 (multiplicity 2)
Rb 0.0000 0.5000 0.2500 (multiplicity 2)
P 0.0000 0.0000 0.5000 (multiplicity 2)
Pb 0.0000 0.5000 0.7500 (multiplicity 2)
S 0.1454 0.1921 0.6265 (multiplicity 8)

Summary:
Formation energy from raw total energies (eV per atom): -0.578
Total energy (Ry per atom): -0.2957
Calculated volume (Å³/atom): 33.48